[1]
DFT (PBE-GGA) results for an optimized crystal structure of ReOsS2.

Lattice parameters (Å, degrees): 5.2140 5.2140 6.3924 65.93 65.93 90.00
With the nearest neighbours (Å) after each atom.
Fractional positions:
1 Re 0.2500 0.7500 0.5000  4 S 2.26
2 Re 0.5000 0.5000 0.0000  4 S 2.26
3 Os 0.7500 0.2500 0.5000  4 S 2.26
4 Os 0.0000 0.0000 0.0000  4 S 2.26
5 S 0.1245 0.6250 0.2500  2 Os 2.26, 2 Re 2.26
6 S 0.8750 0.8755 0.7500  2 Os 2.26, 2 Re 2.26
7 S 0.3750 0.3745 0.7500  2 Os 2.26, 2 Re 2.26
8 S 0.6255 0.1250 0.2500  2 Os 2.26, 2 Re 2.26

Summary:
magnetization = 0.00 μB/f.u.
offset from the most stable computed form = 0.068 eV per atom



[2]
DFT (PBE-GGA) results for an optimized crystal structure of ReOs3S.

Lattice parameters (Å, degrees): 4.7435 4.7435 4.7435 90.00 90.00 90.00
With the nearest neighbours (Å) after each atom.
Fractional positions:
1 Os 0.0000 0.5000 0.0000  2 Re 2.37
2 Os 0.0000 0.0000 0.5000  2 Re 2.37
3 Os 0.5000 0.0000 0.0000  2 Re 2.37
4 S 0.5000 0.5000 0.5000  12 Os 3.35
5 Re 0.0000 0.0000 0.0000  6 Os 2.37

Summary:
magnetization = 3.14 μB/f.u.
offset from the most stable computed form = 1.159 eV per atom



[3]
DFT (PBE-GGA) results for an optimized crystal structure of ReOs3S.

Lattice parameters (Å, degrees): 4.3051 4.3051 4.3051 90.00 90.00 90.00
With the nearest neighbours (Å) after each atom.
Fractional positions:
1 Os 0.0000 0.0000 0.5000  2 S 2.15
2 Os 0.5000 0.0000 0.0000  2 S 2.15
3 Os 0.0000 0.5000 0.0000  2 S 2.15
4 Re 0.5000 0.5000 0.5000  12 Os 3.04
5 S 0.0000 0.0000 0.0000  6 Os 2.15

Summary:
magnetization = 1.47 μB/f.u.
offset from the most stable computed form = 0.000 eV per atom



[4]
DFT (PBE-GGA) results for an optimized crystal structure of Re2OsS.

Lattice parameters (Å, degrees): 5.4924 5.4924 6.5660 65.28 65.28 90.00
With the nearest neighbours (Å) after each atom.
Fractional positions:
1 S 0.5000 0.5000 0.0000  4 Re 2.29
2 S 0.2500 0.7500 0.5000  4 Re 2.29
3 Re 0.3750 0.3940 0.7500  2 S 2.29, 2 Os 2.41
4 Re 0.8750 0.8560 0.7500  2 S 2.29, 2 Os 2.41
5 Re 0.6060 0.1250 0.2500  2 S 2.29, 2 Os 2.41
6 Re 0.1440 0.6250 0.2500  2 S 2.29, 2 Os 2.41
7 Os 0.7500 0.2500 0.5000  4 Re 2.41
8 Os 0.0000 0.0000 0.0000  4 Re 2.41

Summary:
magnetization = 0.00 μB/f.u.



[5]
DFT (PBE-GGA) results for an optimized crystal structure of ReOsS2.

Lattice parameters (Å, degrees): 8.0321 8.0321 8.0321 21.41 21.41 21.41
With the nearest neighbours (Å) after each atom.
Fractional positions:
1 Os 0.0000 0.0000 0.0000  2 S 2.23
2 S 0.9050 0.9050 0.9050  1 Os 2.23, 3 Re 2.41
3 S 0.0950 0.0950 0.0950  1 Os 2.23, 3 Re 2.41
4 Re 0.5000 0.5000 0.5000  6 S 2.41

Summary:
magnetization = 0.00 μB/f.u.
offset from the most stable computed form = 0.000 eV per atom



[6]
DFT (PBE-GGA) results for an optimized crystal structure of ReSiOs2S.

Lattice parameters (Å, degrees): 4.2900 4.3897 4.2900 90.00 90.00 90.00
With the nearest neighbours (Å) after each atom.
Fractional positions:
1 S 0.0000 0.0000 0.0000  4 Os 2.15, 2 Si 2.19
2 Si 0.0000 0.5000 0.0000  2 S 2.19
3 Os 0.5000 0.0000 0.0000  2 S 2.15
4 Os 0.0000 0.0000 0.5000  2 S 2.15
5 Re 0.5000 0.5000 0.5000  4 Si 3.03, 8 Os 3.07

Summary:
magnetization = 1.13 μB/f.u.



[7]
DFT (PBE-GGA) results for an optimized crystal structure of ReSbOs2.

Lattice parameters (Å, degrees): 4.0882 2.8502 5.7839 75.70 90.00 90.00
With the nearest neighbours (Å) after each atom.
Fractional positions:
1 Os 0.5000 0.1856 0.2535  1 Sb 2.68, 6 Os 2.79-2.85, 4 Re 2.81
2 Os 0.0000 0.7968 0.0304  1 Re 2.55, 2 Sb 2.65, 6 Os 2.79-2.85
3 Re 0.0000 0.5704 0.4852  5 Os 2.55-2.81, 4 Sb 2.85, 2 Re 2.85
4 Sb 0.5000 0.9473 0.7308  3 Os 2.65-2.68, 4 Re 2.85, 2 Sb 2.85

Summary:
magnetization = 0.00 μB/f.u.



[8]
DFT (PBE-GGA) results for an optimized crystal structure of ReSbOs2.

Lattice parameters (Å, degrees): 5.3386 5.3386 5.3386 146.84 129.33 61.90
With the nearest neighbours (Å) after each atom.
Fractional positions:
1 Sb 0.2500 0.7500 0.5000  4 Os 2.62, 4 Re 2.75
2 Re 0.7500 0.2500 0.5000  4 Sb 2.75, 4 Os 2.88, 2 Re 3.05
3 Os 0.0175 0.0175 0.0000  2 Sb 2.62, 4 Os 2.76, 2 Re 2.88
4 Os 0.4825 0.4825 0.0000  2 Sb 2.62, 4 Os 2.76, 2 Re 2.88

Summary:
magnetization = 0.00 μB/f.u.



[9]
DFT (PBE-GGA) results for an optimized crystal structure of ReSbOs2.

Lattice parameters (Å, degrees): 4.9116 4.9116 4.7555 82.90 82.90 34.71
With the nearest neighbours (Å) after each atom.
Fractional positions:
1 Re 0.4839 0.4839 0.5281  7 Os 2.66-2.96, 1 Sb 2.72, 2 Re 2.93
2 Os 0.7504 0.7504 0.7446  3 Re 2.72-2.82, 5 Os 2.76-2.93, 4 Sb 2.79-2.80
3 Os 0.0154 0.0154 0.9836  4 Re 2.66-2.96, 1 Sb 2.66, 5 Os 2.76-2.93
4 Sb 0.2504 0.2504 0.2438  5 Os 2.66-2.80, 1 Re 2.72, 2 Sb 2.93

Summary:
magnetization = 0.00 μB/f.u.



[10]
DFT (PBE-GGA) results for an optimized crystal structure of Re3SbOs.

Lattice parameters (Å, degrees): 4.7551 4.7551 4.7551 90.00 90.00 90.00
With the nearest neighbours (Å) after each atom.
Fractional positions:
1 Os 0.0000 0.0000 0.0000  6 Re 2.38
2 Re 0.0000 0.5000 0.0000  2 Os 2.38
3 Re 0.5000 0.0000 0.0000  2 Os 2.38
4 Re 0.0000 0.0000 0.5000  2 Os 2.38
5 Sb 0.5000 0.5000 0.5000  12 Re 3.36

Summary:
magnetization = 0.57 μB/f.u.
offset from the most stable computed form = 0.000 eV per atom



[11]
DFT (PBE-GGA) results for an optimized crystal structure of ReSbOs2.

Lattice parameters (Å, degrees): 2.9345 3.9500 5.6037 90.00 90.00 90.00
With the nearest neighbours (Å) after each atom.
Fractional positions:
1 Re 0.0000 0.0000 0.4613  6 Os 2.65-2.95, 2 Re 2.93
2 Sb 0.5000 0.5000 0.7692  6 Os 2.73-2.87, 2 Sb 2.93, 4 Re 3.00
3 Os 0.0000 0.0000 0.9877  2 Re 2.65-2.95, 4 Sb 2.75, 6 Os 2.93-2.96
4 Os 0.5000 0.5000 0.2818  4 Re 2.66, 2 Sb 2.73-2.87, 6 Os 2.93-2.96

Summary:
magnetization = 0.00 μB/f.u.



[12]
DFT (PBE-GGA) results for an optimized crystal structure of ReSbOs2.

Lattice parameters (Å, degrees): 4.8486 4.8486 4.8192 82.67 82.67 34.92
With the nearest neighbours (Å) after each atom.
Fractional positions:
1 Re 0.7500 0.7500 0.7500  6 Os 2.74-2.79, 4 Sb 2.81, 2 Re 2.91
2 Sb 0.2500 0.2500 0.2500  6 Os 2.71-2.98, 4 Re 2.81, 2 Sb 2.91
3 Os 0.4876 0.4876 0.5226  6 Os 2.67-2.99, 3 Sb 2.71-2.98, 3 Re 2.74-2.79
4 Os 0.0124 0.0124 0.9774  6 Os 2.67-2.99, 3 Sb 2.71-2.98, 3 Re 2.74-2.79

Summary:
magnetization = 0.00 μB/f.u.



[13]
DFT (PBE-GGA) results for an optimized crystal structure of ReSbOs2.

Lattice parameters (Å, degrees): 2.9129 3.8756 5.6739 90.00 90.00 90.00
With the nearest neighbours (Å) after each atom.
Fractional positions:
1 Os 0.0000 0.0000 0.0171  3 Os 2.64-2.91, 4 Re 2.76, 4 Sb 2.86
2 Os 0.0000 0.0000 0.4829  3 Os 2.64-2.91, 4 Re 2.76, 4 Sb 2.86
3 Sb 0.5000 0.5000 0.7500  2 Re 2.84, 8 Os 2.86, 2 Sb 2.91
4 Re 0.5000 0.5000 0.2500  8 Os 2.76, 2 Sb 2.84, 2 Re 2.91

Summary:
magnetization = 0.00 μB/f.u.



[14]
DFT (PBE-GGA) results for an optimized crystal structure of ReSbOs2.

Lattice parameters (Å, degrees): 8.9157 8.9157 8.9157 18.81 18.81 18.81
With the nearest neighbours (Å) after each atom.
Fractional positions:
1 Os 0.9979 0.9979 0.9979  9 Os 2.72-2.91, 3 Sb 2.78
2 Os 0.2500 0.2500 0.2500  3 Re 2.69, 9 Os 2.72-2.91
3 Sb 0.7488 0.7488 0.7488  3 Os 2.78, 3 Re 2.85, 6 Sb 2.91
4 Re 0.5033 0.5033 0.5033  3 Os 2.69, 3 Sb 2.85, 6 Re 2.91

Summary:
magnetization = 0.00 μB/f.u.



[15]
DFT (PBE-GGA) results for an optimized crystal structure of ReSbOs2.

Lattice parameters (Å, degrees): 4.7724 4.7724 2.9043 90.00 90.00 106.33
With the nearest neighbours (Å) after each atom.
Fractional positions:
1 Sb 0.0000 0.5000 0.5000  8 Os 2.79, 2 Re 2.86, 2 Sb 2.90
2 Os 0.0000 0.0000 0.0000  4 Re 2.79, 4 Sb 2.79, 4 Os 2.86-2.90
3 Os 0.5000 0.5000 0.0000  4 Sb 2.79, 4 Re 2.79, 4 Os 2.86-2.90
4 Re 0.5000 0.0000 0.5000  8 Os 2.79, 2 Sb 2.86, 2 Re 2.90

Summary:
magnetization = 0.00 μB/f.u.



[16]
DFT (PBE-GGA) results for an optimized crystal structure of ReSbOs2.

Lattice parameters (Å, degrees): 5.3945 5.3945 5.3945 147.30 130.04 61.00
With the nearest neighbours (Å) after each atom.
Fractional positions:
1 Re 0.4834 0.4834 0.0000  2 Sb 2.64, 6 Os 2.77-2.83
2 Os 0.7402 0.2402 0.5000  4 Sb 2.74, 2 Re 2.83, 6 Os 3.03-3.06
3 Os 0.0257 0.0257 0.0000  2 Sb 2.59, 4 Re 2.77
4 Sb 0.2507 0.7508 0.5000  6 Os 2.59-2.74, 2 Re 2.64

Summary:
magnetization = 0.00 μB/f.u.



[17]
DFT (PBE-GGA) results for an optimized crystal structure of ReSb3Os.

Lattice parameters (Å, degrees): 5.0880 5.0880 5.0880 90.00 90.00 90.00
With the nearest neighbours (Å) after each atom.
Fractional positions:
1 Os 0.0000 0.0000 0.0000  6 Sb 2.54
2 Sb 0.5000 0.0000 0.0000  2 Os 2.54
3 Sb 0.0000 0.5000 0.0000  2 Os 2.54
4 Sb 0.0000 0.0000 0.5000  2 Os 2.54
5 Re 0.5000 0.5000 0.5000  12 Sb 3.60

Summary:
magnetization = 2.39 μB/f.u.
offset from the most stable computed form = 0.000 eV per atom



[18]
DFT (PBE-GGA) results for an optimized crystal structure of ReSbOs2.

Lattice parameters (Å, degrees): 4.4993 4.4993 4.4993 60.00 60.00 60.00
With the nearest neighbours (Å) after each atom.
Fractional positions:
1 Re 0.5000 0.5000 0.5000  4 Os 2.76, 4 Sb 2.76
2 Os 0.7500 0.7500 0.7500  4 Os 2.76, 4 Re 2.76
3 Os 0.0000 0.0000 0.0000  4 Sb 2.76, 4 Os 2.76
4 Sb 0.2500 0.2500 0.2500  4 Re 2.76, 4 Os 2.76

Summary:
magnetization = 0.00 μB/f.u.



[19]
DFT (PBE-GGA) results for an optimized crystal structure of ReSbOs2.

Lattice parameters (Å, degrees): 5.7429 5.7429 7.0792 66.07 66.07 90.00
With the nearest neighbours (Å) after each atom.
Fractional positions:
1 Os 0.3750 0.3470 0.7500  2 Re 2.41, 2 Sb 2.59
2 Os 0.6530 0.1250 0.2500  2 Re 2.41, 2 Sb 2.59
3 Os 0.0970 0.6250 0.2500  2 Re 2.41, 2 Sb 2.59
4 Os 0.8750 0.9030 0.7500  2 Re 2.41, 2 Sb 2.59
5 Re 0.7500 0.2500 0.5000  4 Os 2.41
6 Re 0.0000 0.0000 0.0000  4 Os 2.41
7 Sb 0.2500 0.7500 0.5000  4 Os 2.59
8 Sb 0.5000 0.5000 0.0000  4 Os 2.59

Summary:
magnetization = 0.00 μB/f.u.



[20]
DFT (PBE-GGA) results for an optimized crystal structure of ReSb4Os.

Lattice parameters (Å, degrees): 5.8531 5.8531 5.8531 60.00 60.00 60.00
With the nearest neighbours (Å) after each atom.
Fractional positions:
1 Os 0.7500 0.7500 0.7500  12 Sb 3.43, 4 Re 3.58
2 Sb 0.8748 0.3751 0.3751  6 Sb 2.92-2.93
3 Sb 0.3751 0.3751 0.3751  6 Sb 2.92-2.93
4 Sb 0.3751 0.3751 0.8748  6 Sb 2.92-2.93
5 Sb 0.3751 0.8748 0.3751  6 Sb 2.92-2.93
6 Re 0.0000 0.0000 0.0000  12 Sb 3.43, 4 Os 3.58

Summary:
magnetization = 2.79 μB/f.u.



[21]
DFT (PBE-GGA) results for an optimized crystal structure of ReSbOs2.

Lattice parameters (Å, degrees): 4.8305 4.8305 4.8305 130.77 130.77 72.19
With the nearest neighbours (Å) after each atom.
Fractional positions:
1 Sb 0.7500 0.2500 0.5000  8 Os 2.80, 4 Re 2.85
2 Os 0.5000 0.5000 0.0000  4 Sb 2.80, 4 Re 2.80, 4 Os 2.85
3 Os 0.0000 0.0000 0.0000  4 Re 2.80, 4 Sb 2.80, 4 Os 2.85
4 Re 0.2500 0.7500 0.5000  8 Os 2.80, 4 Sb 2.85

Summary:
magnetization = 0.00 μB/f.u.



[22]
DFT (PBE-GGA) results for an optimized crystal structure of ReSbOs2.

Lattice parameters (Å, degrees): 8.9464 8.9464 8.9464 18.76 18.76 18.76
With the nearest neighbours (Å) after each atom.
Fractional positions:
1 Re 0.2500 0.2500 0.2500  6 Os 2.70, 6 Re 2.92
2 Sb 0.7500 0.7500 0.7500  6 Os 2.84, 6 Sb 2.92
3 Os 0.5033 0.5033 0.5033  3 Re 2.70, 3 Sb 2.84, 6 Os 2.92
4 Os 0.9967 0.9967 0.9967  3 Re 2.70, 3 Sb 2.84, 6 Os 2.92

Summary:
magnetization = 0.00 μB/f.u.



[23]
DFT (PBE-GGA) results for an optimized crystal structure of ReSb3Os.

Lattice parameters (Å, degrees): 5.0803 5.0803 5.0803 90.00 90.00 90.00
With the nearest neighbours (Å) after each atom.
Fractional positions:
1 Sb 0.5000 0.0000 0.0000  2 Re 2.54
2 Sb 0.0000 0.5000 0.0000  2 Re 2.54
3 Sb 0.0000 0.0000 0.5000  2 Re 2.54
4 Os 0.5000 0.5000 0.5000  12 Sb 3.59
5 Re 0.0000 0.0000 0.0000  6 Sb 2.54

Summary:
magnetization = 0.71 μB/f.u.
offset from the most stable computed form = 0.010 eV per atom



[24]
DFT (PBE-GGA) results for an optimized crystal structure of ReSbOs2.

Lattice parameters (Å, degrees): 2.8501 2.8501 9.6294 90.00 90.00 119.41
With the nearest neighbours (Å) after each atom.
Fractional positions:
1 Os 0.0000 0.0000 0.0234  2 Re 2.61, 6 Os 2.85-2.88
2 Os 0.0000 0.0000 0.4766  2 Re 2.61, 6 Os 2.85-2.88
3 Re 0.5000 0.5000 0.2500  4 Os 2.61, 6 Re 2.85-2.88
4 Sb 0.5000 0.5000 0.7500  6 Sb 2.85-2.88, 4 Os 3.00

Summary:
magnetization = 0.00 μB/f.u.



[25]
DFT (PBE-GGA) results for an optimized crystal structure of ReSbOs2.

Lattice parameters (Å, degrees): 4.8983 4.8983 4.8983 132.23 132.23 69.87
With the nearest neighbours (Å) after each atom.
Fractional positions:
1 Re 0.5000 0.5000 0.0000  8 Os 2.81-2.82, 4 Sb 2.82
2 Os 0.0000 0.0000 0.0000  4 Re 2.81, 4 Sb 2.82, 4 Os 2.82
3 Os 0.2500 0.7500 0.5000  4 Sb 2.81, 4 Os 2.82, 4 Re 2.82
4 Sb 0.7500 0.2500 0.5000  8 Os 2.81-2.82, 4 Re 2.82

Summary:
magnetization = 0.00 μB/f.u.



[26]
DFT (PBE-GGA) results for an optimized crystal structure of ReSbOs2.

Lattice parameters (Å, degrees): 2.9473 2.9473 7.4141 90.00 90.00 90.00
With the nearest neighbours (Å) after each atom.
Fractional positions:
1 Os 0.0000 0.0000 0.0038  4 Sb 2.78, 8 Os 2.80-2.95
2 Os 0.5000 0.5000 0.2568  4 Re 2.68, 8 Os 2.80-2.95
3 Re 0.0000 0.0000 0.4831  4 Os 2.68, 4 Sb 2.91, 4 Re 2.95
4 Sb 0.5000 0.5000 0.7564  4 Os 2.78, 4 Re 2.91, 4 Sb 2.95

Summary:
magnetization = 0.00 μB/f.u.



[27]
DFT (PBE-GGA) results for an optimized crystal structure of ReSbOs2.

Lattice parameters (Å, degrees): 4.7025 4.7025 2.9310 90.00 90.00 90.00
With the nearest neighbours (Å) after each atom.
Fractional positions:
1 Sb 0.0000 0.5000 0.5000  8 Os 2.77, 2 Sb 2.93
2 Os 0.5000 0.5000 0.0000  4 Re 2.77, 4 Sb 2.77, 2 Os 2.93
3 Os 0.0000 0.0000 0.0000  4 Re 2.77, 4 Sb 2.77, 2 Os 2.93
4 Re 0.5000 0.0000 0.5000  8 Os 2.77, 2 Re 2.93

Summary:
magnetization = 0.84 μB/f.u.



[28]
DFT (PBE-GGA) results for an optimized crystal structure of ReSbOs2.

Lattice parameters (Å, degrees): 2.9361 2.9361 7.4567 90.00 90.00 90.00
With the nearest neighbours (Å) after each atom.
Fractional positions:
1 Os 0.0000 0.0000 0.4853  4 Re 2.72, 4 Sb 2.86, 4 Os 2.94
2 Os 0.0000 0.0000 0.0147  4 Re 2.72, 4 Sb 2.86, 4 Os 2.94
3 Re 0.5000 0.5000 0.2500  8 Os 2.72, 4 Re 2.94
4 Sb 0.5000 0.5000 0.7500  8 Os 2.86, 4 Sb 2.94

Summary:
magnetization = 0.00 μB/f.u.



[29]
DFT (PBE-GGA) results for an optimized crystal structure of ScReSb2Os.

Lattice parameters (Å, degrees): 5.0700 4.8671 5.0700 90.00 90.00 90.00
With the nearest neighbours (Å) after each atom.
Fractional positions:
1 Sc 0.5000 0.5000 0.5000  8 Sb 3.51, 4 Re 3.59
2 Re 0.0000 0.5000 0.0000  2 Os 2.43
3 Sb 0.5000 0.0000 0.0000  2 Os 2.54
4 Sb 0.0000 0.0000 0.5000  2 Os 2.54
5 Os 0.0000 0.0000 0.0000  2 Re 2.43, 4 Sb 2.54

Summary:
magnetization = 0.71 μB/f.u.



| no. | formation energy (no corrections) (eV/atom) |
| --- | --- |
| 1 | 0.250 |
| 2 | 2.618 |
| 3 | 1.459 |
| 4 | 0.760 |
| 5 | 0.182 |
| 6 | 1.554 |
| 7 | 0.574 |
| 8 | 0.676 |
| 9 | 0.515 |
| 10 | 2.058 |
| 11 | 0.612 |
| 12 | 0.527 |
| 13 | 0.546 |
| 14 | 0.576 |
| 15 | 0.617 |
| 16 | 0.685 |
| 17 | 1.571 |
| 18 | 0.763 |
| 19 | 1.050 |
| 20 | 1.820 |
| 21 | 0.578 |
| 22 | 0.521 |
| 23 | 1.580 |
| 24 | 0.881 |
| 25 | 0.608 |
| 26 | 0.542 |
| 27 | 0.754 |
| 28 | 0.429 |
| 29 | 1.065 |